The following is a DFT calculation (PBE-GGA) of a relaxed structure of CeAlCo4.

Results
Calculated density   7.76 g cm⁻³
Offset from the most stable computed form   0.0370 eV/atom
Calculated formation energy   -0.230 eV per atom
Density of states at the Fermi level   8.711 states/eV per cell

a = 5.065 Å, b = 5.065 Å, c = 3.881 Å
α = 90.00°, β = 90.00°, γ = 120.00°
Positions (direct):
Ce 0.000 0.000 0.000
Al 0.333 0.667 0.000
Co 0.503 0.006 0.500
Co 0.503 0.497 0.500
Co 0.667 0.333 0.000
Co 0.994 0.497 0.500